DFT (PBE-GGA) results for a relaxed Mg2NbP crystal.

* M_tot: 0.00 Bohr magnetons per cell
* energy of formation: -0.287 eV/atom

Unit cell a=3.322 b=3.431 c=7.013 alpha=90.00 beta=103.02 gamma=90.00
Sites, in units of the cell vectors:
Mg: 0.000 0.000 0.000
Mg: 0.352 0.500 0.695
Nb: 0.716 0.000 0.413
P: 0.158 0.500 0.295

DFT (PBE-GGA) results for a relaxed Mg2NbP crystal.

* M_tot: 2.47 Bohr magnetons per cell
* energy of formation: 0.557 eV/atom

Unit cell a=4.738 b=4.738 c=4.738 alpha=60.00 beta=60.00 gamma=60.00
Sites, in units of the cell vectors:
Mg: 0.250 0.250 0.250
Mg: 0.750 0.750 0.750
Nb: 0.000 0.000 0.000
P: 0.500 0.500 0.500

DFT (PBE-GGA) results for a relaxed MgNbP3 crystal.

* M_tot: 0.00 Bohr magnetons per cell
* energy of formation: 1.149 eV/atom

Unit cell a=4.621 b=4.621 c=4.621 alpha=90.00 beta=90.00 gamma=90.00
Sites, in units of the cell vectors:
Mg: 0.000 0.000 0.000
Nb: 0.500 0.500 0.500
P: 0.000 0.000 0.500
P: 0.000 0.500 0.000
P: 0.500 0.000 0.000

DFT (PBE-GGA) results for a relaxed MgNbP3 crystal.

* M_tot: 0.00 Bohr magnetons per cell
* energy of formation: 0.242 eV/atom

Unit cell a=4.830 b=4.830 c=4.830 alpha=90.00 beta=90.00 gamma=90.00
Sites, in units of the cell vectors:
Mg: 0.000 0.000 0.000
Nb: 0.500 0.500 0.500
P: 0.000 0.500 0.500
P: 0.500 0.000 0.500
P: 0.500 0.500 0.000

DFT (PBE-GGA) results for a relaxed Mg2NbP crystal.

* M_tot: 0.00 Bohr magnetons per cell
* energy of formation: 0.090 eV/atom

Unit cell a=6.088 b=6.088 c=6.088 alpha=99.86 beta=99.86 gamma=131.12
Sites, in units of the cell vectors:
Mg: 0.062 0.625 0.937
Mg: 0.375 0.312 0.437
Mg: 0.688 0.125 0.063
Mg: 0.875 0.938 0.563
Nb: 0.250 0.750 0.500
Nb: 0.500 0.500 0.000
P: 0.000 0.000 0.000
P: 0.750 0.250 0.500

DFT (PBE-GGA) results for a relaxed Mg3NbP crystal.

* M_tot: 2.43 Bohr magnetons per cell
* energy of formation: 1.466 eV/atom

Unit cell a=5.346 b=5.346 c=5.346 alpha=90.00 beta=90.00 gamma=90.00
Sites, in units of the cell vectors:
Mg: 0.000 0.000 0.500
Mg: 0.000 0.500 0.000
Mg: 0.500 0.000 0.000
Nb: 0.000 0.000 0.000
P: 0.500 0.500 0.500